Entry 1:
# KTl5Pd3, relaxed, DFT PBE-GGA
# DFT total energy (Ry/atom): -0.23954
# Energy of formation (eV per atom): -0.09
data_KTl5Pd3
_chemical_formula_sum 'K4 Tl20 Pd12'
_cell_length_a 4.6244
_cell_length_b 13.9592
_cell_length_c 15.3904
_cell_angle_alpha 90.00
_cell_angle_beta 90.00
_cell_angle_gamma 90.00
_symmetry_space_group_name_H-M 'C m c m'
_symmetry_Int_Tables_number 63
_symmetry_space_group_name_Hall '-C 2c 2'
loop_
_atom_site_label
_atom_site_type_symbol
_atom_site_fract_x
_atom_site_fract_y
_atom_site_fract_z
K1 K 0.0000 0.1622 0.2500
Tl1 Tl 0.0000 0.0000 0.0000
Tl2 Tl 0.0000 0.2126 0.5868
Tl3 Tl 0.0000 0.4571 0.1528
Pd1 Pd 0.0000 0.1123 0.7500
Pd2 Pd 0.0000 0.3932 0.5248

Entry 2:
# La2Sm5Th, relaxed, DFT PBE-GGA
# DFT total energy (Ry/atom): -0.37308
# Energy of formation (eV per atom): 0.03
data_La2Sm5Th
_chemical_formula_sum 'La4 Sm10 Th2'
_cell_length_a 7.2667
_cell_length_b 14.5538
_cell_length_c 5.2092
_cell_angle_alpha 90.00
_cell_angle_beta 90.00
_cell_angle_gamma 90.00
_symmetry_space_group_name_H-M 'P b a m'
_symmetry_Int_Tables_number 55
_symmetry_space_group_name_Hall '-P 2 2ab'
loop_
_atom_site_label
_atom_site_type_symbol
_atom_site_fract_x
_atom_site_fract_y
_atom_site_fract_z
La1 La 0.2472 0.1230 0.0000
Sm1 Sm 0.0000 0.5000 0.5000
Sm2 Sm 0.0068 0.2478 0.5000
Sm3 Sm 0.2387 0.8795 0.0000
Th1 Th 0.0000 0.0000 0.5000

Entry 3:
# CePuS3, relaxed, DFT PBE-GGA
# Energy relative to the elements, uncorrected (eV per atom): -1.84
# DFT total energy (Ry/atom): -0.61493
data_CePuS3
_chemical_formula_sum 'Ce2 Pu2 S6'
_cell_length_a 3.9787
_cell_length_b 6.6082
_cell_length_c 8.6845
_cell_angle_alpha 90.00
_cell_angle_beta 90.00
_cell_angle_gamma 90.00
_symmetry_space_group_name_H-M 'P m m n'
_symmetry_Int_Tables_number 59
loop_
_symmetry_equiv_pos_as_xyz
'x,y,z'
'-x,-y,-z'
'-x+1/2,-y+1/2,z'
'x+1/2,y+1/2,-z'
'x+1/2,-y,-z'
'-x+1/2,y,z'
'-x,y+1/2,-z'
'x,-y+1/2,z'
loop_
_atom_site_label
_atom_site_type_symbol
_atom_site_fract_x
_atom_site_fract_y
_atom_site_fract_z
Ce1 Ce 0.2500 0.2500 0.1524
Pu1 Pu 0.2500 0.7500 0.4022
S1 S 0.2500 0.5193 0.6729
S2 S 0.2500 0.7500 0.0673